--- a ---
Below is a relaxed structure of ZnRe, with properties calculated at the GGA-PBE level.

Cell lengths 4.3571, 14.1535, 4.6987 Å; angles 90.00, 90.00, 90.00 degrees
Closest atoms and distances in Å follow each position.
Space group Amm2 (No. 38)
One atom of each set of equivalent atoms:
Zn  0.0000  0.0000  0.0000  10 Re 2.62-2.75, 2 Zn 2.85
Zn  0.0000  0.2016  0.9965  7 Zn 2.63-2.85, 5 Re 2.73-2.86
Zn  0.5000  0.1996  0.3110  6 Zn 2.63-2.75, 6 Re 2.77-2.90
Re  0.0000  0.0967  0.5083  5 Re 2.60-2.74, 7 Zn 2.69-2.86
Re  0.5000  0.0000  0.3112  4 Zn 2.62-2.82, 8 Re 2.71-2.73
Re  0.5000  0.0957  0.8096  5 Re 2.60-2.72, 7 Zn 2.72-2.90

Summary:
total magnetization: 0.0 μB/f.u.

--- b ---
Below is a relaxed structure of ZnRe, with properties calculated at the GGA-PBE level.

Cell lengths 4.4704, 5.3868, 4.7618 Å; angles 90.00, 90.00, 90.00 degrees
Closest atoms and distances in Å follow each position.
Space group Pmm2 (No. 25)
One atom of each set of equivalent atoms:
Zn  0.0000  0.0000  0.0000  6 Re 2.69-2.71, 6 Zn 2.72-2.78
Zn  0.0000  0.2559  0.4930  6 Zn 2.63-2.78, 6 Re 2.68-2.75
Zn  0.5000  0.0000  0.6688  6 Re 2.69-2.72, 6 Zn 2.74-2.76
Re  0.0000  0.5000  0.9846  6 Zn 2.68-2.75, 6 Re 2.73-2.78
Re  0.5000  0.2411  0.1714  6 Re 2.60-2.82, 6 Zn 2.70-2.72
Re  0.5000  0.5000  0.6572  6 Zn 2.69-2.71, 6 Re 2.70-2.82

Summary:
total magnetization: 0.0 μB/f.u.

--- c ---
Below is a relaxed structure of ZnRe, with properties calculated at the GGA-PBE level.

Cell lengths 4.4794, 13.3321, 4.8111 Å; angles 90.00, 90.00, 90.00 degrees
Closest atoms and distances in Å follow each position.
Space group Amm2 (No. 38)
One atom of each set of equivalent atoms:
Zn  0.0000  0.0000  0.0000  8 Zn 2.72-2.73, 4 Re 2.73-2.75
Zn  0.0000  0.0959  0.4985  5 Zn 2.56-2.74, 7 Re 2.64-2.86
Zn  0.5000  0.0973  0.8267  5 Zn 2.59-2.74, 7 Re 2.72-2.81
Re  0.0000  0.2064  0.0077  6 Zn 2.64-2.86, 6 Re 2.67-2.73
Re  0.5000  0.0000  0.3239  2 Re 2.65, 10 Zn 2.71-2.75
Re  0.5000  0.1986  0.3203  7 Re 2.65-2.77, 5 Zn 2.72-2.79

Summary:
total magnetization: 0.0 μB/f.u.

--- d ---
Below is a relaxed structure of ZnRe, with properties calculated at the GGA-PBE level.

Cell lengths 5.4910, 14.0291, 4.4659 Å; angles 90.00, 90.00, 90.00 degrees
Closest atoms and distances in Å follow each position.
Space group Pbcm (No. 57)
One atom of each set of equivalent atoms:
Zn  0.1205  0.1955  0.2500  8 Zn 2.66-2.73, 4 Re 2.67-2.75
Zn  0.1240  0.6407  0.7500  5 Zn 2.66-2.77, 7 Re 2.73-2.83
Zn  0.3709  0.1414  0.7500  5 Zn 2.67-2.77, 7 Re 2.69-2.82
Re  0.1265  0.5290  0.2500  7 Re 2.67-2.79, 5 Zn 2.70-2.75
Re  0.3781  0.6917  0.2500  4 Re 2.57-2.77, 8 Zn 2.72-2.75
Re  0.3811  0.0344  0.2500  7 Re 2.57-2.79, 5 Zn 2.67-2.83

Summary:
total magnetization: 0.0 μB/f.u.

Stability summary - winner: d; margin: 5.5 kJ/mol of atoms.

--- a ---
Below is a relaxed structure of ZnRe, with properties calculated at the GGA-PBE level.

Cell lengths 4.4979, 8.1235, 4.7277 Å; angles 90.00, 90.00, 90.00 degrees
Closest atoms and distances in Å follow each position.
Space group Pmc2_1 (No. 26)
One atom of each set of equivalent atoms:
Zn  0.0000  0.0856  0.0000  7 Zn 2.66-2.75, 5 Re 2.72-2.80
Zn  0.0000  0.2417  0.4946  5 Zn 2.66-2.73, 7 Re 2.66-2.85
Zn  0.5000  0.2505  0.8205  8 Re 2.64-2.82, 4 Zn 2.73-2.75
Re  0.0000  0.4304  0.0022  6 Re 2.62-2.77, 6 Zn 2.66-2.85
Re  0.5000  0.0838  0.3249  3 Re 2.60-2.73, 9 Zn 2.71-2.76
Re  0.5000  0.4041  0.3129  7 Re 2.60-2.83, 5 Zn 2.64-2.81

Summary:
total magnetization: 0.0 μB/f.u.

--- b ---
Below is a relaxed structure of ZnRe, with properties calculated at the GGA-PBE level.

Cell lengths 4.4089, 8.4340, 4.6652 Å; angles 90.00, 90.00, 90.00 degrees
Closest atoms and distances in Å follow each position.
Space group Pmc2_1 (No. 26)
One atom of each set of equivalent atoms:
Zn  0.0000  0.0759  0.0000  6 Zn 2.66-2.69, 6 Re 2.77-2.89
Zn  0.5000  0.0806  0.6700  7 Zn 2.69-2.85, 5 Re 2.73-2.83
Zn  0.5000  0.4182  0.6767  9 Re 2.68-2.77, 3 Zn 2.71-2.85
Re  0.0000  0.2663  0.5030  5 Re 2.56-2.78, 6 Zn 2.68-2.84
Re  0.0000  0.4045  0.0135  7 Re 2.56-2.83, 5 Zn 2.71-2.77
Re  0.5000  0.2548  0.1762  4 Re 2.65-2.68, 8 Zn 2.71-2.83

Summary:
total magnetization: 0.0 μB/f.u.

Stability summary - winner: b; margin: 1.6 kJ/mol of atoms.

--- a ---
Below is a relaxed structure of ZnRe, with properties calculated at the GGA-PBE level.

Cell lengths 2.8120, 4.3841, 9.3804 Å; angles 90.00, 90.00, 90.00 degrees
Closest atoms and distances in Å follow each position.
Space group Pmmn (No. 59, origin choice 2)
One atom of each set of equivalent atoms:
Zn  0.2500  0.2500  0.0429  10 Zn 2.68-2.81, 2 Re 2.75
Zn  0.2500  0.7500  0.2073  6 Zn 2.68-2.81, 6 Re 2.73
Re  0.2500  0.2500  0.5436  10 Re 2.66-2.81, 2 Zn 2.73
Re  0.2500  0.7500  0.7051  6 Re 2.66-2.81, 6 Zn 2.73-2.75

Summary:
total magnetization: 0.0 μB/f.u.

--- b ---
Below is a relaxed structure of ZnRe, with properties calculated at the GGA-PBE level.

Cell lengths 5.3345, 4.4958, 7.3575 Å; angles 90.00, 100.28, 90.00 degrees
Closest atoms and distances in Å follow each position.
Space group P2_1/m (No. 11)
One atom of each set of equivalent atoms:
Zn  0.1338  0.2500  0.0601  7 Zn 2.61-2.74, 5 Re 2.77-2.83
Zn  0.3056  0.2500  0.7334  8 Re 2.67-2.87, 4 Zn 2.69-2.73
Zn  0.3565  0.7500  0.9472  9 Zn 2.61-2.75, 3 Re 2.75-2.76
Re  0.0399  0.7500  0.6070  7 Re 2.53-2.80, 5 Zn 2.73-2.83
Re  0.1995  0.7500  0.2848  6 Re 2.66-2.77, 6 Zn 2.67-2.83
Re  0.4842  0.2500  0.3882  7 Re 2.53-2.80, 4 Zn 2.73-2.78

Summary:
total magnetization: 0.0 μB/f.u.

Stability summary - winner: a; margin: 5.9 kJ/mol of atoms.

--- a ---
Below is a relaxed structure of Zn2Re, with properties calculated at the GGA-PBE level.

Cell lengths 2.6771, 14.0196, 4.5264 Å; angles 90.00, 90.00, 90.00 degrees
Closest atoms and distances in Å follow each position.
Space group Cmcm (No. 63)
One atom of each set of equivalent atoms:
Zn  0.0000  0.0669  0.2500  6 Zn 2.65-2.94, 6 Re 2.68-2.73
Zn  0.0000  0.2702  0.7500  8 Zn 2.65-2.69, 4 Re 2.70-2.88
Re  0.0000  0.3972  0.2500  2 Re 2.68, 10 Zn 2.68-2.88

Summary:
total magnetization: 0.0 μB/f.u.

--- b ---
Below is a relaxed structure of Zn2Re, with properties calculated at the GGA-PBE level.

Cell lengths 4.4037, 7.9892, 4.8353 Å; angles 90.00, 90.00, 90.00 degrees
Closest atoms and distances in Å follow each position.
Space group Pmmn (No. 59, origin choice 2)
One atom of each set of equivalent atoms:
Zn  0.2500  0.0788  0.0824  8 Zn 2.63-2.83, 4 Re 2.69-2.79
Zn  0.2500  0.2500  0.5939  6 Re 2.66-2.70, 6 Zn 2.73-2.83
Zn  0.2500  0.7500  0.0611  8 Zn 2.63-2.76, 4 Re 2.72-2.81
Re  0.2500  0.5825  0.5715  3 Re 2.66-2.68, 9 Zn 2.66-2.81

Summary:
total magnetization: 0.0 μB/f.u.

--- c ---
Below is a relaxed structure of Zn2Re, with properties calculated at the GGA-PBE level.

Cell lengths 4.6672, 4.6672, 4.5127 Å; angles 90.00, 90.00, 120.00 degrees
Closest atoms and distances in Å follow each position.
Space group P-62m (No. 189)
One atom of each set of equivalent atoms:
Zn  0.0000  0.0000  0.0000  6 Re 2.69, 6 Zn 2.79
Zn  0.0000  0.6481  0.5000  8 Zn 2.62-2.84, 4 Re 2.72
Re  0.3333  0.6667  0.0000  9 Zn 2.69-2.72, 3 Re 2.69

Summary:
total magnetization: 0.0 μB/f.u.

Stability summary - winner: b; margin: 3.9 kJ/mol of atoms.

--- a ---
Below is a relaxed structure of Zn3Re, with properties calculated at the GGA-PBE level.

Cell lengths 4.2803, 5.2272, 5.0136 Å; angles 90.00, 90.00, 90.00 degrees
Closest atoms and distances in Å follow each position.
Space group Pmmn (No. 59, origin choice 2)
One atom of each set of equivalent atoms:
Zn  0.2500  0.0006  0.1491  7 Zn 2.61-2.71, 4 Re 2.74-2.91
Zn  0.2500  0.2500  0.6758  4 Re 2.62-2.64, 6 Zn 2.66-2.71
Re  0.2500  0.7500  0.6312  12 Zn 2.62-2.91

Summary:
total magnetization: 0.7 μB/f.u.

--- b ---
Below is a relaxed structure of Zn3Re, with properties calculated at the GGA-PBE level.

Cell lengths 5.3614, 9.5346, 4.4732 Å; angles 90.00, 90.00, 90.00 degrees
Closest atoms and distances in Å follow each position.
Space group Cmcm (No. 63)
One atom of each set of equivalent atoms:
Zn  0.0000  0.0789  0.2500  2 Re 2.69, 10 Zn 2.69-2.78
Zn  0.2435  0.1788  0.7500  8 Zn 2.61-2.78, 4 Re 2.68-2.85
Re  0.0000  0.4370  0.7500  2 Re 2.54, 6 Zn 2.68-2.79

Summary:
total magnetization: 0.0 μB/f.u.

Stability summary - winner: b; margin: 17.8 kJ/mol of atoms.

--- a ---
Below is a relaxed structure of ZnRe2, with properties calculated at the GGA-PBE level.

Cell lengths 7.3085, 7.3085, 7.3085 Å; angles 90.00, 90.00, 90.00 degrees
Closest atoms and distances in Å follow each position.
Space group Fd-3m (No. 227, origin choice 2)
One atom of each set of equivalent atoms:
Zn  0.1250  0.1250  0.1250  12 Re 3.03, 4 Zn 3.16
Re  0.0000  0.0000  0.5000  6 Re 2.58

Summary:
total magnetization: 0.0 μB/f.u.

--- b ---
Below is a relaxed structure of ZnRe2, with properties calculated at the GGA-PBE level.

Cell lengths 11.3881, 11.3881, 11.3881 Å; angles 90.00, 90.00, 90.00 degrees
Closest atoms and distances in Å follow each position.
Space group Fd-3m (No. 227, origin choice 2)
One atom of each set of equivalent atoms:
Zn  0.1250  0.1250  0.1250  4 Re 2.47
Re  0.0000  0.0000  0.0000  2 Zn 2.47

Summary:
total magnetization: 8.3 μB/f.u.

Stability summary - winner: a; margin: 361.5 kJ/mol of atoms.

--- a ---
Below is a relaxed structure of Tb2SeS3, with properties calculated at the GGA-PBE level.

Cell lengths 7.1287, 4.1139, 10.7877 Å; angles 90.00, 109.27, 90.00 degrees
Closest atoms and distances in Å follow each position.
Space group Pm (No. 6)
One atom of each set of equivalent atoms:
Tb  0.0000  0.0000  0.0000  4 S 2.73-2.75, 2 Se 2.88
Tb  0.4930  0.5000  0.0006  5 S 2.74-2.75, 1 Se 2.89
Se  0.9084  0.5000  0.1574  3 Tb 2.88-2.89, 1 S 2.92
S  0.2609  0.0000  0.8613  3 Tb 2.74-2.75, 1 S 2.83
S  0.3997  0.0000  0.1388  3 Tb 2.75, 1 S 2.83
S  0.7648  0.5000  0.8706  3 Tb 2.73-2.74, 1 Se 2.92

Summary:
total magnetization: 0.0 μB/f.u.

--- b ---
Below is a relaxed structure of Tb2SeS3, with properties calculated at the GGA-PBE level.

Cell lengths 20.0335, 4.1067, 7.1190 Å; angles 90.00, 90.03, 90.00 degrees
Closest atoms and distances in Å follow each position.
Space group Cm (No. 8)
One atom of each set of equivalent atoms:
Tb  0.0000  0.0000  0.0000  4 S 2.73-2.74, 2 Se 2.87
Tb  0.9997  0.5000  0.4929  5 S 2.74-2.75, 1 Se 2.88
Se  0.4201  0.0000  0.8301  3 Tb 2.87-2.88, 1 S 2.92
S  0.0659  0.5000  0.8292  3 Tb 2.73-2.74, 1 Se 2.92
S  0.0703  0.0000  0.3303  3 Tb 2.74-2.75, 1 S 2.81
S  0.4298  0.5000  0.3294  3 Tb 2.73-2.74, 1 S 2.81

Summary:
total magnetization: 2.0 μB/f.u.

Stability summary - winner: b; margin: 6.0 kJ/mol of atoms.

--- a ---
Below is a relaxed structure of TcSeS, with properties calculated at the GGA-PBE level.

Cell lengths 6.5205, 6.6952, 6.8447 Å; angles 91.83, 104.52, 118.48 degrees
Closest atoms and distances in Å follow each position.
Space group P-1 (No. 2)
One atom of each set of equivalent atoms:
Tc  0.0097  0.2060  0.0030  3 S 2.34-2.43, 3 Se 2.50-2.61
Tc  0.4364  0.1810  0.0091  3 S 2.31-2.43, 1 Se 2.51
Se  0.2532  0.6316  0.1994  3 Tc 2.59-2.62
Se  0.2741  0.3913  0.7804  3 Tc 2.50-2.66
S  0.2319  0.8499  0.7644  3 Tc 2.31-2.43
S  0.2400  0.1109  0.2644  3 Tc 2.34-2.35

Summary:
total magnetization: 0.0 μB/f.u.

--- b ---
Below is a relaxed structure of TcSeS, with properties calculated at the GGA-PBE level.

Cell lengths 14.1672, 3.1704, 5.8700 Å; angles 90.00, 99.58, 90.00 degrees
Closest atoms and distances in Å follow each position.
Space group Cm (No. 8)
One atom of each set of equivalent atoms:
Tc  0.0000  0.0000  0.0000  2 S 2.31-2.48, 4 Se 2.51-2.57
Tc  0.0051  0.5000  0.4000  4 S 2.39-2.43, 2 Se 2.46-2.61
Se  0.1077  0.5000  0.8119  3 Tc 2.57-2.61
Se  0.3707  0.0000  0.0744  3 Tc 2.46-2.51
S  0.1207  0.0000  0.3171  3 Tc 2.31-2.39
S  0.4159  0.5000  0.5945  3 Tc 2.43-2.48

Summary:
total magnetization: 0.1 μB/f.u.

Stability summary - winner: a; margin: 10.3 kJ/mol of atoms.